Record 1
Material: LaNdCuGe
Method: DFT, PBE
State: optimized geometry

Calculated values
SG = F-43m (216)
DFT total energy = -5.06 eV/atom
energy relative to the elements = -10.56 kcal/mol of atoms

Lattice parameters (Å, degrees): 5.200 5.200 5.200 60.00 60.00 60.00
Element x y z (fractional)
Ge1 0.000 0.000 0.000
Nd1 0.750 0.750 0.750
Cu1 0.500 0.500 0.500
La1 0.250 0.250 0.250

***

Record 2
Material: Mg2TlBr
Method: DFT, PBE
State: optimized geometry

Calculated values
SG = Cmmm (65)
DFT total energy = -2.10 eV/atom
E_form (uncorrected) = -295 meV per atom

Lattice parameters (Å, degrees): 3.658 3.658 8.823 90.00 90.00 115.77
Element x y z (fractional)
Br1 0.500 0.500 0.750
Mg1 0.000 0.000 0.996
Mg2 0.000 0.000 0.504
Tl1 0.500 0.500 0.250

***

Record 3
Material: Hg4As3
Method: DFT, PBE
State: optimized geometry

Calculated values
SG = P6/mmm (191)
DFT total energy = -1.81 eV/atom
energy relative to the elements = 8.16 kcal/mol of atoms

Lattice parameters (Å, degrees): 5.845 5.845 5.598 90.00 90.00 120.00
Element x y z (fractional)
Hg1 0.000 0.000 0.257
Hg2 0.000 0.000 0.743
Hg3 0.667 0.333 0.500
Hg4 0.333 0.667 0.500
As1 0.000 0.500 0.000
As2 0.500 0.500 0.000
As3 0.500 0.000 0.000

***

Record 4
Material: Ca2AlMo
Method: DFT, PBE
State: optimized geometry

Calculated values
SG = Cm (8)
DFT total energy = -4.30 eV/atom
energy relative to the elements = 7.88 kcal/mol of atoms

Lattice parameters (Å, degrees): 5.996 5.996 5.630 73.34 73.34 29.59
Element x y z (fractional)
Mo1 0.540 0.540 0.517
Ca1 0.973 0.973 0.064
Ca2 0.776 0.776 0.686
Al1 0.211 0.211 0.233